! HoMg5Cd2 (GGA-PBE, optimized geometry); values from VASP
! calculated formation energy	-0.128	eV per atom
! DOS at the Fermi energy	0.4802	states/eV/atom
! DFT total energy	-1.925	eV/atom
&SYSTEM
  ibrav = 0, nat = 8, ntyp = 3
/
ATOMIC_SPECIES
Mg 24.30 Mg.upf
Ho 164.93 Ho.upf
Cd 112.41 Cd.upf
CELL_PARAMETERS angstrom
-3.346 -0.276 -0.350
-2.294 -1.830 7.105
-2.551 6.674 2.836
ATOMIC_POSITIONS crystal
Mg 0.633 0.142 0.592
Mg 0.633 0.592 0.142
Mg 0.000 0.500 0.500
Mg 0.367 0.858 0.408
Mg 0.367 0.408 0.858
Ho 0.000 0.000 0.000
Cd 0.257 0.243 0.243
Cd 0.743 0.757 0.757